Record 1
Li2MgPaF8: optimized geometry, PBE. Values from VASP.

Structure (Quantum ESPRESSO input):
```
&SYSTEM
  ibrav = 0, nat = 12, ntyp = 4
/
ATOMIC_SPECIES
Li 6.94 Li.upf
Mg 24.30 Mg.upf
Pa 231.04 Pa.upf
F 19.00 F.upf
ATOMIC_POSITIONS angstrom
Li 2.436 2.425 5.604
Li 2.428 2.415 1.288
Mg 0.000 0.000 0.000
Pa 0.003 0.005 3.448
F 1.037 3.818 1.625
F 3.461 3.450 -0.003
F 3.822 1.015 1.626
F 3.827 1.021 5.266
F 1.403 1.390 6.895
F 1.042 3.824 5.266
F 3.326 3.334 3.449
F 1.538 1.505 3.443
CELL_PARAMETERS angstrom
4.747 0.062 -0.001
0.111 4.768 -0.003
0.007 0.010 6.897
```

Summary:
ΔE_f (raw) in meV per atom: -3394
Crystal system: monoclinic

***

Record 2
Sm2LuV: optimized geometry, PBE. Values from VASP.

Structure (Quantum ESPRESSO input):
```
&SYSTEM
  ibrav = 0, nat = 4, ntyp = 3
/
ATOMIC_SPECIES
Lu 174.97 Lu.upf
Sm 150.36 Sm.upf
V 50.94 V.upf
ATOMIC_POSITIONS angstrom
Lu 3.486 2.013 5.267
Sm 1.743 1.006 2.279
Sm 5.229 3.019 8.255
V 0.000 0.000 0.000
CELL_PARAMETERS angstrom
3.486 0.000 0.000
1.743 3.019 0.000
1.743 1.006 10.534
```

Summary:
Formation enthalpy at 0 K in eV/atom: 0.374
Crystal system: trigonal

***

Record 3
ZrBeZnNi: optimized geometry, PBE. Values from VASP.

Structure (Quantum ESPRESSO input):
```
&SYSTEM
  ibrav = 0, nat = 4, ntyp = 4
/
ATOMIC_SPECIES
Ni 58.69 Ni.upf
Zn 65.41 Zn.upf
Zr 91.22 Zr.upf
Be 9.01 Be.upf
ATOMIC_POSITIONS angstrom
Ni 2.135 1.233 0.872
Zn 4.270 2.465 1.743
Zr 0.000 0.000 0.000
Be 6.406 3.698 2.615
CELL_PARAMETERS angstrom
4.270 0.000 0.000
2.135 3.698 0.000
2.135 1.233 3.487
```

Summary:
Formation enthalpy at 0 K in eV/atom: -0.264
Crystal system: cubic

***

Record 4
Mn2Al2Se5: optimized geometry, PBE. Values from VASP.

Structure (Quantum ESPRESSO input):
```
&SYSTEM
  ibrav = 0, nat = 9, ntyp = 3
/
ATOMIC_SPECIES
Mn 54.94 Mn.upf
Al 26.98 Al.upf
Se 78.96 Se.upf
ATOMIC_POSITIONS angstrom
Mn -1.693 -2.304 0.319
Mn -5.245 -2.135 6.833
Al -7.180 0.340 3.834
Al 0.243 -4.779 3.319
Se -3.631 -0.745 1.095
Se -3.306 -3.694 6.057
Se -6.494 -1.722 4.684
Se -0.444 -2.717 2.468
Se 0.000 0.000 0.000
CELL_PARAMETERS angstrom
-2.418 -1.803 -2.419
2.238 -5.811 2.093
-6.758 3.174 7.479
```

Summary:
ΔE_f (raw) in meV per atom: -550
Crystal system: monoclinic

***

Record 5
Tb5CSe5: optimized geometry, PBE. Values from VASP.

Structure (Quantum ESPRESSO input):
```
&SYSTEM
  ibrav = 0, nat = 11, ntyp = 3
/
ATOMIC_SPECIES
Tb 158.93 Tb.upf
C 12.01 C.upf
Se 78.96 Se.upf
ATOMIC_POSITIONS angstrom
Tb 2.844 4.122 1.112
Tb 2.844 2.750 5.213
Tb 2.844 0.000 0.000
Tb 0.000 1.158 2.287
Tb 0.000 -0.214 6.388
C 0.000 0.000 0.000
Se 2.844 1.425 2.491
Se 2.844 0.056 6.245
Se 0.000 -1.240 3.787
Se 0.000 3.852 1.255
Se 0.000 2.482 5.009
CELL_PARAMETERS angstrom
5.688 0.000 0.000
-2.844 6.388 -0.074
0.000 -2.480 7.573
```

Summary:
ΔE_f (raw) in meV per atom: -1596
Crystal system: monoclinic

***

Record 6
La2CrGa2: optimized geometry, PBE. Values from VASP.

Structure (Quantum ESPRESSO input):
```
&SYSTEM
  ibrav = 0, nat = 5, ntyp = 3
/
ATOMIC_SPECIES
Cr 52.00 Cr.upf
Ga 69.72 Ga.upf
La 138.91 La.upf
ATOMIC_POSITIONS angstrom
Cr 0.000 0.000 0.000
Ga 3.710 1.855 4.735
Ga 1.855 3.710 4.735
La 1.855 1.855 1.904
La 3.710 3.710 7.567
CELL_PARAMETERS angstrom
3.710 0.000 0.000
0.000 3.710 0.000
1.855 1.855 9.471
```

Summary:
ΔE to the lowest computed polymorph in meV per atom: 0.0
Formation enthalpy at 0 K in eV/atom: 0.120
Crystal system: tetragonal

***

Record 7
Na2YSn: optimized geometry, PBE. Values from VASP.

Structure (Quantum ESPRESSO input):
```
&SYSTEM
  ibrav = 0, nat = 8, ntyp = 3
/
ATOMIC_SPECIES
Y 88.91 Y.upf
Na 22.99 Na.upf
Sn 118.71 Sn.upf
ATOMIC_POSITIONS angstrom
Y 2.219 2.219 0.000
Y 2.219 4.439 6.176
Na 3.434 1.110 3.088
Na 1.004 3.329 3.088
Na 3.329 3.224 9.264
Na 5.549 5.654 9.264
Sn 0.000 0.000 0.000
Sn 4.439 2.219 6.176
CELL_PARAMETERS angstrom
4.439 0.000 0.000
0.000 4.439 0.000
2.219 2.219 12.352
```

Summary:
Formation enthalpy at 0 K in eV/atom: -0.101
Crystal system: tetragonal

***

Record 8
Tb6NdDyY2: optimized geometry, PBE. Values from VASP.

Structure (Quantum ESPRESSO input):
```
&SYSTEM
  ibrav = 0, nat = 20, ntyp = 4
/
ATOMIC_SPECIES
Tb 158.93 Tb.upf
Nd 144.24 Nd.upf
Dy 162.50 Dy.upf
Y 88.91 Y.upf
ATOMIC_POSITIONS angstrom
Tb 4.920 0.956 3.687
Tb 3.979 -0.996 6.737
Tb -2.341 -9.465 4.951
Tb -1.401 -7.512 1.901
Tb 2.055 -7.625 0.780
Tb -0.348 -5.072 -0.676
Tb 0.524 -0.883 7.858
Tb 2.927 -3.436 9.314
Tb 3.236 -4.655 0.621
Tb 0.478 -4.509 2.364
Tb -0.658 -3.853 8.017
Tb 2.101 -3.999 6.274
Nd 3.082 -2.426 3.250
Nd -0.504 -6.082 5.388
Dy -0.350 -8.467 -1.675
Dy 2.929 -0.041 10.313
Y 3.114 -5.955 3.823
Y 1.310 -1.960 0.180
Y -0.535 -2.553 4.815
Y 1.269 -6.548 8.459
CELL_PARAMETERS angstrom
-4.913 -3.337 7.517
0.709 -7.931 -3.797
6.783 2.759 4.918
```

Summary:
Formation enthalpy at 0 K in eV/atom: 0.126
Crystal system: monoclinic

***

Record 9
TiVMoRu: optimized geometry, PBE. Values from VASP.

Structure (Quantum ESPRESSO input):
```
&SYSTEM
  ibrav = 0, nat = 4, ntyp = 4
/
ATOMIC_SPECIES
Ti 47.87 Ti.upf
V 50.94 V.upf
Mo 95.94 Mo.upf
Ru 101.07 Ru.upf
ATOMIC_POSITIONS angstrom
Ti 0.000 0.000 5.298
V 0.000 0.000 2.216
Mo 1.537 1.537 0.717
Ru 1.537 1.537 3.733
CELL_PARAMETERS angstrom
3.073 0.000 0.000
0.000 3.073 0.000
0.000 0.000 6.206
```

Summary:
ΔE to the lowest computed polymorph in meV per atom: 6.2
Formation enthalpy at 0 K in eV/atom: -0.349
Crystal system: tetragonal

***

Record 10
CeGe2Cl8: optimized geometry, PBE. Values from VASP.

Structure (Quantum ESPRESSO input):
```
&SYSTEM
  ibrav = 0, nat = 11, ntyp = 3
/
ATOMIC_SPECIES
Ce 140.12 Ce.upf
Ge 72.64 Ge.upf
Cl 35.45 Cl.upf
ATOMIC_POSITIONS angstrom
Ce 0.000 0.000 0.000
Ge 6.939 8.815 6.688
Ge 3.174 1.793 1.360
Cl 2.819 4.117 6.589
Cl 7.294 3.153 5.858
Cl 3.769 8.005 6.074
Cl 6.344 2.603 1.975
Cl 2.819 7.455 2.191
Cl 7.294 6.490 1.459
Cl 7.790 7.191 5.456
Cl 2.323 3.417 2.593
CELL_PARAMETERS angstrom
7.879 0.972 0.738
1.117 7.532 0.078
1.117 2.104 7.233
```

Summary:
ΔE to the lowest computed polymorph in meV per atom: 25.2
ΔE_f (raw) in meV per atom: -1283
Crystal system: monoclinic

***

Record 11
La2SmY3Bi6: optimized geometry, PBE. Values from VASP.

Structure (Quantum ESPRESSO input):
```
&SYSTEM
  ibrav = 0, nat = 12, ntyp = 4
/
ATOMIC_SPECIES
La 138.91 La.upf
Sm 150.36 Sm.upf
Y 88.91 Y.upf
Bi 208.98 Bi.upf
ATOMIC_POSITIONS angstrom
La 0.008 4.573 0.001
La 3.957 2.293 0.001
Sm 0.000 0.000 0.000
Y -2.622 4.565 3.724
Y 5.265 0.011 3.724
Y 1.321 2.288 3.724
Bi 3.949 2.317 5.518
Bi 2.661 4.608 1.944
Bi -1.306 2.259 1.929
Bi 0.033 4.578 5.518
Bi -0.018 -0.032 5.503
Bi 2.610 -0.002 1.929
CELL_PARAMETERS angstrom
7.928 -0.001 0.001
-3.963 6.866 0.001
-1.322 -2.289 7.446
```

Summary:
Formation enthalpy at 0 K in eV/atom: -0.952
Crystal system: monoclinic

***

Record 12
TaAl2C2: optimized geometry, PBE. Values from VASP.

Structure (Quantum ESPRESSO input):
```
&SYSTEM
  ibrav = 0, nat = 10, ntyp = 3
/
ATOMIC_SPECIES
C 12.01 C.upf
Al 26.98 Al.upf
Ta 180.95 Ta.upf
ATOMIC_POSITIONS angstrom
C 1.679 -0.057 5.110
C -1.254 -0.165 6.277
C -2.423 -0.138 3.342
C 0.511 -0.030 2.175
Al 1.770 1.542 3.603
Al 0.240 1.440 6.445
Al -2.603 1.390 4.913
Al -1.073 1.492 2.070
Ta 0.000 0.000 0.000
Ta -0.372 -0.097 4.226
CELL_PARAMETERS angstrom
-4.597 -0.210 3.851
3.853 0.015 4.600
-0.089 3.127 0.064
```

Summary:
ΔE to the lowest computed polymorph in meV per atom: 0.0
Formation enthalpy at 0 K in eV/atom: 0.282
Crystal system: tetragonal

***

Size of the total moment / μB/f.u.: 1.00; 2.06; 0.00; 9.96; 0.00; 3.35; 0.00; 0.00; 0.00; 0.00; 0.00; 0.00